First-principles (PBEsol) data for a geometry-optimized CuSi2Te structure, as listed in Alexandria.

Cell: 3.743 3.893 5.322 Å, 88.75 90.00 90.00°
Fractional positions:
Si 0.000 0.104 0.082
Si 0.500 0.710 0.092
Cu 0.500 0.253 0.820
Te 0.000 0.434 0.506

Properties
V, A^3/atom: 19.39
N(E_F), states/eV/cell: 1.614
E_tot, eV/atom: -4.5966
Total magnetic moment, μB/f.u.: 0.00
Formation energy (no corrections), meV per atom: 242